GGA-PBE MnNiH2, optimized geometry; VASP energy = -5.392 eV per atom
1.0
5.518 0.000 0.000
0.000 5.390 0.000
0.000 0.000 4.231
Mn Ni H
4 4 8
direct
0.141 0.125 0.000 Mn
0.359 0.625 0.500 Mn
0.641 0.375 0.000 Mn
0.859 0.875 0.500 Mn
0.062 0.645 0.013 Ni
0.438 0.145 0.513 Ni
0.562 0.855 0.013 Ni
0.938 0.355 0.513 Ni
0.051 0.624 0.628 H
0.128 0.114 0.534 H
0.372 0.614 0.034 H
0.449 0.124 0.128 H
0.551 0.876 0.628 H
0.628 0.386 0.534 H
0.872 0.886 0.034 H
0.949 0.376 0.128 H